Entry 1:
VASP calculation (PBE) on Si2WSe after structural relaxation.

Properties
* DOS at the Fermi energy: 0.76 states/eV/atom
* uncorrected energy: -6.58 eV/atom
* uncorrected formation energy: 0.24 eV per atom

a b c (Å): 9.2220 9.2220 9.2220
angles (deg): 18.88 18.88 18.88
Sites, in units of the cell vectors:
Se: 0.7692 0.7692 0.7692
Si: 0.2452 0.2452 0.2452
Si: 0.9826 0.9826 0.9826
W: 0.5030 0.5030 0.5030



Entry 2:
VASP calculation (PBE) on CaMgSb2 after structural relaxation.

Properties
* DOS at the Fermi energy: 0.28 states/eV/atom
* uncorrected energy: -3.14 eV/atom
* uncorrected formation energy: -0.18 eV per atom

a b c (Å): 3.2758 3.2758 10.7016
angles (deg): 90.00 90.00 90.00
Sites, in units of the cell vectors:
Mg: 0.5000 0.5000 0.7561
Sb: 0.0000 0.0000 0.9550
Sb: 0.5000 0.5000 0.2841
Ca: 0.0000 0.0000 0.5047



Entry 3:
VASP calculation (PBE) on LaGe2Pd7Pb2 after structural relaxation.

Properties
* DOS at the Fermi energy: 0.30 states/eV/atom
* uncorrected energy: -5.25 eV/atom
* DFT formation energy: -41 kJ per mole of atoms

a b c (Å): 4.1290 4.1290 14.3722
angles (deg): 84.21 84.21 89.25
Sites, in units of the cell vectors:
Pb: 0.8899 0.8899 0.3828
Pb: 0.1101 0.1101 0.6172
Ge: 0.5907 0.5907 0.7452
Ge: 0.4093 0.4093 0.2548
Pd: 0.5558 0.0566 0.8436
Pd: 0.5000 0.5000 0.0000
Pd: 0.4442 0.9434 0.1564
Pd: 0.3711 0.3711 0.4277
Pd: 0.0566 0.5558 0.8436
Pd: 0.6289 0.6289 0.5723
Pd: 0.9434 0.4442 0.1564
La: 0.0000 0.0000 0.0000



Entry 4:
VASP calculation (PBE) on Pm2Ho3Cd3 after structural relaxation.

Properties
* DOS at the Fermi energy: 1.26 states/eV/atom
* uncorrected energy: -3.42 eV/atom
* DFT formation energy: -17 kJ per mole of atoms

a b c (Å): 4.9183 4.9139 9.2399
angles (deg): 90.00 90.00 90.00
Sites, in units of the cell vectors:
Ho: 0.5000 0.5000 0.2704
Ho: 0.5000 0.0000 0.0000
Ho: 0.5000 0.5000 0.7296
Pm: 0.0000 0.0000 0.2572
Pm: 0.0000 0.0000 0.7428
Cd: 0.0000 0.5000 0.5000
Cd: 0.0000 0.5000 0.0000
Cd: 0.5000 0.0000 0.5000



Entry 5:
VASP calculation (PBE) on KTbTcN3 after structural relaxation.

Properties
* DOS at the Fermi energy: 0.34 states/eV/atom
* uncorrected energy: -7.32 eV/atom
* uncorrected formation energy: -0.48 eV per atom

a b c (Å): 3.8800 7.0257 7.7598
angles (deg): 104.10 90.00 106.03
Sites, in units of the cell vectors:
K: 0.6429 0.2857 0.0718
K: 0.3571 0.7143 0.9282
Tb: 0.6616 0.3231 0.5718
Tb: 0.3384 0.6769 0.4282
N: 0.8387 0.6774 0.6196
N: 0.5110 0.0219 0.3254
N: 0.4890 0.9781 0.6746
N: 0.8640 0.7280 0.2143
N: 0.1613 0.3226 0.3804
N: 0.1360 0.2720 0.7857
Tc: 0.0013 0.0025 0.3261
Tc: 0.9987 0.9975 0.6739



Entry 6:
VASP calculation (PBE) on Ti4Ag2O9 after structural relaxation.

Properties
* DOS at the Fermi energy: 0.00 states/eV/atom
* uncorrected energy: -7.88 eV/atom
* uncorrected formation energy: -2.42 eV per atom

a b c (Å): 9.1163 9.1163 12.3484
angles (deg): 70.27 70.27 23.69
Sites, in units of the cell vectors:
O: 0.1126 0.1126 0.0490
O: 0.8874 0.8874 0.9510
O: 0.1801 0.1801 0.4804
O: 0.9790 0.9790 0.3615
O: 0.9287 0.9287 0.1653
O: 0.6886 0.6886 0.8663
O: 0.8199 0.8199 0.5196
O: 0.7693 0.7693 0.2940
O: 0.2307 0.2307 0.7060
O: 0.3114 0.3114 0.1337
O: 0.7286 0.7286 0.0785
O: 0.6470 0.6470 0.6548
O: 0.0210 0.0210 0.6385
O: 0.1555 0.1555 0.2648
O: 0.0713 0.0713 0.8347
O: 0.8445 0.8445 0.7352
O: 0.3530 0.3530 0.3452
O: 0.2714 0.2714 0.9215
Ti: 0.8826 0.8826 0.3569
Ti: 0.7585 0.7585 0.6643
Ti: 0.1978 0.1978 0.1078
Ti: 0.8022 0.8022 0.8922
Ti: 0.1557 0.1557 0.8814
Ti: 0.8443 0.8443 0.1186
Ti: 0.2415 0.2415 0.3357
Ti: 0.1174 0.1174 0.6431
Ag: 0.4422 0.4422 0.6645
Ag: 0.5175 0.5175 0.1169
Ag: 0.5578 0.5578 0.3355
Ag: 0.4825 0.4825 0.8831